# SrLuMgAl | Alexandria via LeMat-Bulk | PBE | relaxed
data_SrLuMgAl
_cell_length_a 5.392
_cell_length_b 5.392
_cell_length_c 5.392
_cell_angle_alpha 60.00
_cell_angle_beta 60.00
_cell_angle_gamma 60.00
_space_group_name_H-M_alt 'P 1'
_space_group_IT_number 1
loop_
_space_group_symop_operation_xyz
'x,y,z'
loop_
_atom_site_label
_atom_site_type_symbol
_atom_site_fract_x
_atom_site_fract_y
_atom_site_fract_z
_atom_site_occupancy
Sr1 Sr 0.000 0.000 0.000 1
Mg1 Mg 0.750 0.750 0.750 1
Lu1 Lu 0.500 0.500 0.500 1
Al1 Al 0.250 0.250 0.250 1
# * D(E_F): 2.6 states/eV/f.u.
# * E_form: -0.080 eV/atom
# * ρ: 4.70 g/cm3
# * symmetry: F-43m (216)